Entry 1:
A plane-wave DFT calculation with PBE was carried out for an optimized crystal structure of K3Th3TlTe8.

Results
**ΔE_f (raw)**: -25.6 kcal/mol of atoms
**DFT total energy**: -4.646 eV/atom
**SG**: R-3m

Cell: 9.351 9.353 9.746 Å, 118.69 89.99 120.00°
Atoms (fractional coordinates):
K 0.000 0.000 0.000
Te 0.739 0.479 0.718
Te 0.290 0.039 0.288
Tl 0.000 0.000 0.500
Th 0.500 0.000 0.500
Te 0.251 0.961 0.712
K 0.500 0.500 0.000
Te 0.261 0.521 0.282
K 0.000 0.500 0.000
Th 0.500 0.500 0.500
Th 0.000 0.500 0.500
Te 0.710 0.961 0.712
Te 0.749 0.039 0.288
Te 0.749 0.498 0.288
Te 0.251 0.502 0.712

Entry 2:
A plane-wave DFT calculation with PBE was carried out for an optimized crystal structure of PrAsH.

Results
**DFT total energy**: -5.102 eV/atom
**SG**: Pm

Cell: 4.155 4.061 8.474 Å, 90.00 123.47 90.00°
Atoms (fractional coordinates):
Pr 0.865 0.980 0.091
Pr 0.881 0.980 0.556
H 0.523 0.980 0.233
As 0.103 0.480 0.885
As 0.232 0.480 0.421
H 0.529 0.480 0.077

Entry 3:
A plane-wave DFT calculation with PBE was carried out for an optimized crystal structure of CuRhAu2.

Results
**DFT total energy**: -4.389 eV/atom
**E_form**: 111 meV per atom
**SG**: I-4m2

Cell: 4.862 4.862 4.862 Å, 131.56 131.56 70.92°
Atoms (fractional coordinates):
Rh 0.750 0.250 0.500
Au 0.250 0.750 0.500
Au 0.000 0.000 0.000
Cu 0.500 0.500 0.000

Entry 4:
A plane-wave DFT calculation with PBE was carried out for an optimized crystal structure of SmNi2Bi2.

Results
**DFT total energy**: -5.106 eV/atom
**E_form**: -298 meV per atom
**SG**: P4/nmm

Cell: 4.631 4.631 10.222 Å, 90.00 90.00 90.00°
Atoms (fractional coordinates):
Ni 0.500 0.000 0.626
Ni 0.000 0.000 0.000
Bi 0.000 0.500 0.125
Bi 0.500 0.000 0.875
Bi 0.500 0.500 0.500
Bi 0.000 0.000 0.500
Ni 0.000 0.500 0.374
Ni 0.500 0.500 0.000
Sm 0.500 0.000 0.227
Sm 0.000 0.500 0.773

Entry 5:
A plane-wave DFT calculation with PBE was carried out for an optimized crystal structure of CuSiSO.

Results
**ΔE_f (raw)**: -25.4 kcal/mol of atoms
**DFT total energy**: -5.751 eV/atom
**SG**: P1

Cell: 5.835 5.835 4.830 Å, 78.50 101.26 76.32°
Atoms (fractional coordinates):
Cu 0.249 0.288 0.854
S 0.900 0.301 0.995
Cu 0.527 0.567 0.853
Si 0.860 0.955 0.971
Si 0.134 0.682 0.602
O 0.927 0.888 0.676
O 0.070 0.744 0.246
S 0.514 0.914 0.996

Entry 6:
A plane-wave DFT calculation with PBE was carried out for an optimized crystal structure of Cu2Ge2Se5.

Results
**ΔE_f (raw)**: -0.5 kcal/mol of atoms
**DFT total energy**: -3.895 eV/atom
**SG**: C2/m

Cell: 4.506 7.830 6.493 Å, 96.12 90.00 106.72°
Atoms (fractional coordinates):
Cu 0.701 0.401 0.396
Cu 0.299 0.599 0.604
Se 0.636 0.272 0.031
Se 0.000 0.000 0.000
Se 0.865 0.730 0.508
Ge 0.836 0.672 0.135
Se 0.135 0.270 0.492
Se 0.364 0.728 0.969
Ge 0.164 0.328 0.865

Entry 7:
A plane-wave DFT calculation with PBE was carried out for an optimized crystal structure of CdIrAu2.

Results
**DFT total energy**: -3.907 eV/atom
**E_form**: 175 meV per atom
**SG**: Pm

Cell: 4.081 2.914 6.571 Å, 63.80 90.00 90.00°
Atoms (fractional coordinates):
Cd 0.000 0.491 0.509
Ir 0.500 0.749 0.751
Au 0.500 0.251 0.248
Au 0.000 0.008 0.992

Entry 8:
A plane-wave DFT calculation with PBE was carried out for an optimized crystal structure of Ta2MoCl.

Results
**ΔE_f (raw)**: 8.4 kcal/mol of atoms
**DFT total energy**: -8.730 eV/atom
**SG**: P4/mmm

Cell: 2.886 2.886 8.205 Å, 90.00 90.00 90.00°
Atoms (fractional coordinates):
Ta 0.000 0.000 0.005
Ta 0.000 0.000 0.495
Mo 0.500 0.500 0.750
Cl 0.500 0.500 0.250

Entry 9:
A plane-wave DFT calculation with PBE was carried out for an optimized crystal structure of Tb2ScCu6.

Results
**DFT total energy**: -4.680 eV/atom
**E_form**: -217 meV per atom
**SG**: P6/mmm

Cell: 3.439 7.316 7.316 Å, 120.00 90.00 90.00°
Atoms (fractional coordinates):
Sc 0.000 0.000 0.000
Cu 0.500 0.330 0.330
Cu 0.500 0.000 0.670
Cu 0.500 0.670 0.670
Cu 0.500 0.670 0.000
Tb 0.000 0.667 0.333
Cu 0.500 0.000 0.330
Tb 0.000 0.333 0.667
Cu 0.500 0.330 0.000

Entry 10:
A plane-wave DFT calculation with PBE was carried out for an optimized crystal structure of AcLa4PmCd2.

Results
**DFT total energy**: -3.848 eV/atom
**E_form**: -48 meV per atom
**SG**: C2/m

Cell: 5.654 6.472 9.995 Å, 58.09 73.57 64.10°
Atoms (fractional coordinates):
Pm 0.000 0.000 0.000
La 0.818 0.022 0.343
La 0.182 0.978 0.657
La 0.350 0.313 0.987
Cd 0.859 0.577 0.705
La 0.650 0.687 0.013
Ac 0.500 0.500 0.500
Cd 0.141 0.423 0.295

Entry 11:
A plane-wave DFT calculation with PBE was carried out for an optimized crystal structure of DyZr2Ga6.

Results
**DFT total energy**: -4.952 eV/atom
**E_form**: -524 meV per atom
**SG**: P6/mmm

Cell: 3.765 7.213 7.213 Å, 120.00 90.00 90.00°
Atoms (fractional coordinates):
Ga 0.500 0.000 0.336
Zr 0.000 0.667 0.333
Ga 0.500 0.664 0.000
Ga 0.500 0.336 0.336
Ga 0.500 0.000 0.664
Ga 0.500 0.336 0.000
Dy 0.000 0.000 0.000
Zr 0.000 0.333 0.667
Ga 0.500 0.664 0.664

Entry 12:
A plane-wave DFT calculation with PBE was carried out for an optimized crystal structure of BaPb2S3.

Results
**ΔE_f (raw)**: -14.4 kcal/mol of atoms
**DFT total energy**: -4.245 eV/atom
**SG**: Cmcm

Cell: 6.684 8.148 8.148 Å, 91.89 90.00 90.00°
Atoms (fractional coordinates):
S 0.750 0.252 0.426
Pb 0.500 0.835 0.835
Ba 0.250 0.377 0.623
S 0.250 0.865 0.135
S 0.750 0.574 0.748
Ba 0.750 0.623 0.377
S 0.250 0.748 0.574
Pb 0.000 0.835 0.835
S 0.250 0.426 0.252
Pb 0.500 0.165 0.165
Pb 0.000 0.165 0.165
S 0.750 0.135 0.865

Entry 13:
A plane-wave DFT calculation with PBE was carried out for an optimized crystal structure of Tl2NiBr.

Results
**ΔE_f (raw)**: -0.2 kcal/mol of atoms
**DFT total energy**: -3.057 eV/atom
**SG**: Pm

Cell: 3.536 3.653 8.050 Å, 76.74 90.00 90.00°
Atoms (fractional coordinates):
Tl 0.500 0.316 0.239
Br 0.000 0.657 0.562
Tl 0.000 0.979 0.917
Ni 0.500 0.548 0.782

Entry 14:
A plane-wave DFT calculation with PBE was carried out for an optimized crystal structure of CsAlCoTe2.

Results
**ΔE_f (raw)**: 4.5 kcal/mol of atoms
**DFT total energy**: -3.400 eV/atom
**SG**: P4/mmm

Cell: 5.667 4.877 5.667 Å, 90.00 90.00 90.00°
Each line ends with the local moment (μB).
Atoms (fractional coordinates):
Te 0.500 0.000 0.000  0.05
Al 0.000 0.000 0.000  -0.02
Cs 0.500 0.500 0.500  0.00
Te 0.000 0.000 0.500  0.06
Co 0.000 0.500 0.000  1.86

Entry 15:
A plane-wave DFT calculation with PBE was carried out for an optimized crystal structure of Li2TbTm2Sn2.

Results
**DFT total energy**: -4.063 eV/atom
**E_form**: -434 meV per atom
**SG**: R-3m

Cell: 4.771 4.771 9.126 Å, 74.85 74.85 60.00°
Atoms (fractional coordinates):
Tb 0.000 0.000 0.000
Sn 0.262 0.262 0.215
Li 0.406 0.406 0.782
Sn 0.738 0.738 0.785
Tm 0.870 0.870 0.389
Li 0.594 0.594 0.218
Tm 0.130 0.130 0.611

Entry 16:
A plane-wave DFT calculation with PBE was carried out for an optimized crystal structure of BC5.

Results
**DFT total energy**: -8.567 eV/atom
**E_form**: 232 meV per atom
**SG**: P-4m2

Cell: 2.520 2.520 11.380 Å, 90.00 90.00 90.00°
Atoms (fractional coordinates):
C 0.000 0.500 0.750
C 0.500 0.000 0.563
B 0.500 0.500 0.841
B 0.000 0.000 0.659
C 0.500 0.000 0.250
C 0.000 0.000 0.329
C 0.000 0.000 0.012
C 0.500 0.500 0.488
C 0.000 0.500 0.093
C 0.500 0.500 0.171
C 0.500 0.000 0.937
C 0.000 0.500 0.407

Entry 17:
A plane-wave DFT calculation with PBE was carried out for an optimized crystal structure of TbThCuOs.

Results
**DFT total energy**: -7.051 eV/atom
**E_form**: -207 meV per atom
**SG**: F-43m

Cell: 4.976 4.976 4.976 Å, 60.00 60.00 60.00°
Atoms (fractional coordinates):
Cu 0.250 0.250 0.250
Tb 0.000 0.000 0.000
Os 0.750 0.750 0.750
Th 0.500 0.500 0.500

Entry 18:
A plane-wave DFT calculation with PBE was carried out for an optimized crystal structure of B3PbCl.

Results
**ΔE_f (raw)**: 51.2 kcal/mol of atoms
**DFT total energy**: -2.899 eV/atom
**SG**: Pm-3m

Cell: 4.174 4.174 4.174 Å, 90.00 90.00 90.00°
Atoms (fractional coordinates):
B 0.000 0.000 0.500
Pb 0.500 0.500 0.500
B 0.000 0.500 0.000
Cl 0.000 0.000 0.000
B 0.500 0.000 0.000

Entry 19:
A plane-wave DFT calculation with PBE was carried out for an optimized crystal structure of Sc2ReSbW.

Results
**ΔE_f (raw)**: 39.1 kcal/mol of atoms
**DFT total energy**: -6.743 eV/atom
**SG**: P4/mmm

Cell: 5.097 4.914 5.097 Å, 90.00 90.00 90.00°
Each line ends with the local moment (μB).
Atoms (fractional coordinates):
Re 0.500 0.500 0.500  2.34
W 0.000 0.500 0.000  -0.66
Sc 0.500 0.000 0.000  -0.15
Sc 0.000 0.000 0.500  -0.14
Sb 0.000 0.000 0.000  0.02

Entry 20:
A plane-wave DFT calculation with PBE was carried out for an optimized crystal structure of BaU2O7.

Results
**ΔE_f (raw)**: -72.5 kcal/mol of atoms
**DFT total energy**: -9.065 eV/atom
**SG**: I4_1/amd

Cell: 7.974 7.974 7.974 Å, 126.36 126.36 79.30°
Atoms (fractional coordinates):
Ba 0.750 0.250 0.500
U 0.375 0.625 0.250
O 0.718 0.718 0.000
U 0.375 0.625 0.750
O 0.875 0.361 0.986
O 0.875 0.889 0.514
O 0.111 0.625 0.986
O 0.111 0.125 0.486
O 0.375 0.889 0.014
Ba 0.000 0.000 0.000
O 0.500 0.500 0.000
O 0.032 0.532 0.500
U 0.375 0.125 0.750
O 0.282 0.282 0.000
O 0.639 0.125 0.014
O 0.375 0.361 0.486
U 0.875 0.625 0.250
O 0.468 0.968 0.500
O 0.639 0.625 0.514
O 0.250 0.750 0.500